(1)
# NbVS3

A geometry-optimized NbVS3 structure (PBE-GGA, Alexandria).

Properties
crystal system	monoclinic
space group	No. 12
total magnetic moment	0.00	μB per formula unit
formation energy (no corrections)	-0.8059	eV per atom
VASP energy	-0.523	Ry per atom
E above lowest polymorph	0	meV per atom

```
10
Lattice="9.9353 -1.5896 0.0000 9.9353 1.5896 0.0000 -0.4570 0.0000 6.2834" Properties=species:S:1:pos:R:3 pbc="T T T"
Nb 1.4148 0.0000 2.8050
Nb 17.9988 0.0000 3.4784
V 7.7674 0.0000 0.8288
V 11.6462 0.0000 5.4546
S 0.1157 0.0000 4.9338
S 2.9006 0.0000 0.7113
S 6.3912 0.0000 2.6010
S 13.0224 0.0000 3.6824
S 16.5130 0.0000 5.5721
S 19.2979 0.0000 1.3496
```

***

(2)
# AcLa4Cd

A geometry-optimized AcLa4Cd structure (PBE-GGA, Alexandria).

Properties
crystal system	monoclinic
space group	No. 15
calculated formation energy	-70	meV/atom
total magnetic moment	0.00	μB per formula unit
VASP energy	-0.308	Ry per atom
E above lowest polymorph	34	meV per atom

```
12
Lattice="6.4692 -2.8710 0.0000 6.4692 2.8710 0.0000 -4.8468 0.0000 11.6958" Properties=species:S:1:pos:R:3 pbc="T T T"
Ac 3.2346 1.4355 0.0000
Ac 0.8112 -1.4355 5.8479
La 0.9397 1.4504 8.7537
La 3.1658 1.4328 5.4517
La 7.3493 1.4328 0.3962
La 4.7285 1.4504 8.7900
La 3.3631 -1.4504 2.9058
La 0.7424 -1.4328 11.2996
La 4.9259 -1.4328 6.2441
La 7.1519 -1.4504 2.9421
Cd 5.2575 1.4154 2.9240
Cd 2.8341 -1.4154 8.7719
```

***

(3)
# KSrMg2

A geometry-optimized KSrMg2 structure (PBE-GGA, Alexandria).

Properties
crystal system	monoclinic
space group	No. 8
calculated formation energy	121	meV/atom
total magnetic moment	0.00	μB per formula unit
VASP energy	-0.101	Ry per atom
E above lowest polymorph	21	meV per atom

```
4
Lattice="6.7753 -1.9027 0.0000 6.7753 1.9027 0.0000 -2.2707 0.0000 6.0324" Properties=species:S:1:pos:R:3 pbc="T T T"
K 0.0000 0.0000 0.0000
Sr 9.9989 0.0000 2.1525
Mg 1.3855 0.0000 4.8988
Mg 6.2797 0.0000 3.2284
```